Record 1
Below is an optimized crystal structure of SrHg2P, with properties calculated at the GGA-PBEsol level.

Values from the calculation:
SG   Fmmm, No. 69

Cell lengths 4.286, 4.286, 6.331 Å; angles 109.49, 109.49, 90.80 degrees
Fractional coordinates of all 4 atoms:
P: 0.500 0.500 0.000
Sr: 0.000 0.000 0.000
Hg: 0.500 0.000 0.500
Hg: 0.000 0.500 0.500

Record 2
Below is an optimized crystal structure of Sr2Hg2P, with properties calculated at the GGA-PBEsol level.

Values from the calculation:
SG   I4/mmm, No. 139

Cell lengths 5.929, 5.929, 5.929 Å; angles 95.02, 117.15, 117.15 degrees
Fractional coordinates of all 5 atoms:
P: 0.000 0.000 0.000
Sr: 0.500 0.250 0.750
Sr: 0.500 0.750 0.250
Hg: 0.000 0.331 0.331
Hg: 0.000 0.669 0.669

Record 3
Below is an optimized crystal structure of Ta2HgP, with properties calculated at the GGA-PBEsol level.

Values from the calculation:
SG   I-4m2, No. 119
E above lowest polymorph   144.0 meV per atom

Cell lengths 3.906, 3.906, 5.236 Å; angles 111.90, 111.90, 90.00 degrees
Fractional coordinates of all 4 atoms:
P: 0.250 0.750 0.500
Hg: 0.500 0.500 0.000
Ta: 0.000 0.000 0.000
Ta: 0.750 0.250 0.500

Record 4
Below is an optimized crystal structure of Ta2HgP, with properties calculated at the GGA-PBEsol level.

Values from the calculation:
SG   P4/mmm, No. 123
E above lowest polymorph   0.0 meV per atom

Cell lengths 3.016, 4.678, 4.678 Å; angles 90.05, 90.00, 90.00 degrees
Fractional coordinates of all 4 atoms:
Ta: 0.000 0.500 0.000
P: 0.500 0.500 0.500
Hg: 0.500 0.000 0.000
Ta: 0.000 0.000 0.500

no.,ΔH_f (0 K) (eV per atom)
1,-0.2548
2,-0.2223
3,0.2824
4,0.1384